This record from Alexandria describes a relaxed LiSb crystal. The functional is PBE-GGA.

Cell and atoms, written as POSCAR:
```
LiSb
1.0
11.380 0.000 0.000
0.000 11.380 0.000
0.000 0.000 4.056
Li Sb
8 8
direct
0.444 0.713 0.000
0.556 0.287 0.000
0.287 0.444 0.000
0.713 0.556 0.000
0.944 0.213 0.500
0.056 0.787 0.500
0.787 0.944 0.500
0.213 0.056 0.500
0.328 0.202 0.000
0.672 0.798 0.000
0.798 0.328 0.000
0.202 0.672 0.000
0.828 0.702 0.500
0.172 0.298 0.500
0.298 0.828 0.500
0.702 0.172 0.500
```

## Properties
formation energy without anion corrections = -0.225 eV per atom
VASP energy = -3.243 eV/atom
ρ = 3.25 Mg/m³